(1)
# PBE KRbNa2I, optimized geometry
# Total DFT energy (no corrections): -1.608 eV per atom
# Total moment: 0.00 μB/f.u.
# Formation energy from raw total energies: -0.357 eV per atom
data_KRbNa2I
_space_group_name_H-M_alt 'P 1'
_space_group_IT_number 1
_cell_length_a 6.480
_cell_length_b 6.480
_cell_length_c 7.138
_cell_angle_alpha 90.00
_cell_angle_beta 90.00
_cell_angle_gamma 90.00
loop_
_space_group_symop_operation_xyz
'x,y,z'
loop_
_atom_site_label
_atom_site_fract_x
_atom_site_fract_y
_atom_site_fract_z
K1 0.000 0.000 0.000
Rb1 0.500 0.500 0.000
Na1 0.000 0.500 0.500
Na2 0.500 0.000 0.500
I1 0.500 0.500 0.500

---

(2)
# PBE Hf2NbPt9, optimized geometry
# Total DFT energy (no corrections): -7.933 eV per atom
# Total moment: 0.01 μB/f.u.
# DFT formation energy: -0.90 eV/atom
data_Hf2NbPt9
_space_group_name_H-M_alt 'P 1'
_space_group_IT_number 1
_cell_length_a 4.018
_cell_length_b 4.018
_cell_length_c 12.098
_cell_angle_alpha 90.00
_cell_angle_beta 90.00
_cell_angle_gamma 90.00
loop_
_space_group_symop_operation_xyz
'x,y,z'
loop_
_atom_site_label
_atom_site_fract_x
_atom_site_fract_y
_atom_site_fract_z
Hf1 0.000 0.000 0.167
Hf2 0.000 0.000 0.833
Nb1 0.000 0.000 0.500
Pt1 0.000 0.500 0.000
Pt2 0.000 0.500 0.335
Pt3 0.000 0.500 0.665
Pt4 0.500 0.000 0.000
Pt5 0.500 0.000 0.335
Pt6 0.500 0.000 0.665
Pt7 0.500 0.500 0.168
Pt8 0.500 0.500 0.500
Pt9 0.500 0.500 0.832

---

(3)
# PBE Pm3Nd2ThP6, optimized geometry
# Total DFT energy (no corrections): -6.882 eV per atom
# Total moment: 0.00 μB/f.u.
# DFT formation energy: -1.58 eV/atom
data_Pm3Nd2ThP6
_space_group_name_H-M_alt 'P 1'
_space_group_IT_number 1
_cell_length_a 9.262
_cell_length_b 9.262
_cell_length_c 8.293
_cell_angle_alpha 102.86
_cell_angle_beta 102.86
_cell_angle_gamma 25.88
loop_
_space_group_symop_operation_xyz
'x,y,z'
loop_
_atom_site_label
_atom_site_fract_x
_atom_site_fract_y
_atom_site_fract_z
Pm1 0.000 0.000 0.000
Pm2 0.332 0.332 0.668
Pm3 0.668 0.668 0.332
Nd1 0.333 0.333 0.164
Nd2 0.667 0.667 0.836
Th1 0.000 0.000 0.500
P1 0.165 0.165 0.581
P2 0.166 0.166 0.085
P3 0.499 0.499 0.747
P4 0.501 0.501 0.253
P5 0.834 0.834 0.915
P6 0.835 0.835 0.419

---

(4)
# PBE YThRhAu, optimized geometry
# Total DFT energy (no corrections): -6.840 eV per atom
# Total moment: 0.00 μB/f.u.
# DFT formation energy: -0.71 eV/atom
data_YThRhAu
_space_group_name_H-M_alt 'P 1'
_space_group_IT_number 1
_cell_length_a 7.196
_cell_length_b 7.196
_cell_length_c 7.196
_cell_angle_alpha 90.00
_cell_angle_beta 90.00
_cell_angle_gamma 90.00
loop_
_space_group_symop_operation_xyz
'x,y,z'
loop_
_atom_site_label
_atom_site_fract_x
_atom_site_fract_y
_atom_site_fract_z
Y1 0.000 0.000 0.000
Y2 0.000 0.500 0.500
Y3 0.500 0.000 0.500
Y4 0.500 0.500 0.000
Th1 0.000 0.000 0.500
Th2 0.000 0.500 0.000
Th3 0.500 0.000 0.000
Th4 0.500 0.500 0.500
Rh1 0.250 0.250 0.750
Rh2 0.250 0.750 0.250
Rh3 0.750 0.250 0.250
Rh4 0.750 0.750 0.750
Au1 0.250 0.250 0.250
Au2 0.250 0.750 0.750
Au3 0.750 0.250 0.750
Au4 0.750 0.750 0.250

---

(5)
# PBE Ba2MgI, optimized geometry
# Total DFT energy (no corrections): -2.369 eV per atom
# Total moment: 0.00 μB/f.u.
# Formation energy from raw total energies: -0.622 eV per atom
data_Ba2MgI
_space_group_name_H-M_alt 'P 1'
_space_group_IT_number 1
_cell_length_a 4.231
_cell_length_b 4.231
_cell_length_c 9.580
_cell_angle_alpha 90.00
_cell_angle_beta 90.00
_cell_angle_gamma 90.00
loop_
_space_group_symop_operation_xyz
'x,y,z'
loop_
_atom_site_label
_atom_site_fract_x
_atom_site_fract_y
_atom_site_fract_z
Ba1 0.000 0.000 0.239
Ba2 0.000 0.000 0.761
Mg1 0.500 0.500 0.000
I1 0.500 0.500 0.500

---

(6)
# PBE Th4Bi3H, optimized geometry
# Total DFT energy (no corrections): -5.845 eV per atom
# Total moment: 0.00 μB/f.u.
data_Th4Bi3H
_space_group_name_H-M_alt 'P 1'
_space_group_IT_number 1
_cell_length_a 6.701
_cell_length_b 10.993
_cell_length_c 6.476
_cell_angle_alpha 90.00
_cell_angle_beta 90.00
_cell_angle_gamma 90.00
loop_
_space_group_symop_operation_xyz
'x,y,z'
loop_
_atom_site_label
_atom_site_fract_x
_atom_site_fract_y
_atom_site_fract_z
Th1 0.000 0.234 0.000
Th2 0.000 0.766 0.000
Th3 0.246 0.500 0.228
Th4 0.254 0.000 0.728
Th5 0.500 0.266 0.500
Th6 0.500 0.734 0.500
Th7 0.746 0.000 0.728
Th8 0.754 0.500 0.228
Bi1 0.000 0.223 0.486
Bi2 0.000 0.500 0.744
Bi3 0.000 0.777 0.486
Bi4 0.500 0.000 0.244
Bi5 0.500 0.277 0.986
Bi6 0.500 0.723 0.986
H1 0.000 0.000 0.982
H2 0.500 0.500 0.482

---

(7)
# PBE MgZr4Hg, optimized geometry
# Total DFT energy (no corrections): -6.097 eV per atom
# Total moment: 0.00 μB/f.u.
# DFT formation energy: -0.08 eV/atom
data_MgZr4Hg
_space_group_name_H-M_alt 'P 1'
_space_group_IT_number 1
_cell_length_a 3.106
_cell_length_b 3.106
_cell_length_c 14.137
_cell_angle_alpha 90.00
_cell_angle_beta 90.00
_cell_angle_gamma 90.00
loop_
_space_group_symop_operation_xyz
'x,y,z'
loop_
_atom_site_label
_atom_site_fract_x
_atom_site_fract_y
_atom_site_fract_z
Mg1 0.000 0.000 0.000
Zr1 0.000 0.000 0.337
Zr2 0.000 0.000 0.663
Zr3 0.500 0.500 0.176
Zr4 0.500 0.500 0.824
Hg1 0.500 0.500 0.500

---

(8)
# PBE Hg3SeO6, optimized geometry
# Total DFT energy (no corrections): -3.711 eV per atom
# Total moment: 0.00 μB/f.u.
# Formation energy from raw total energies: -0.297 eV per atom
data_Hg3SeO6
_space_group_name_H-M_alt 'P 1'
_space_group_IT_number 1
_cell_length_a 5.518
_cell_length_b 5.545
_cell_length_c 10.139
_cell_angle_alpha 90.00
_cell_angle_beta 119.76
_cell_angle_gamma 90.00
loop_
_space_group_symop_operation_xyz
'x,y,z'
loop_
_atom_site_label
_atom_site_fract_x
_atom_site_fract_y
_atom_site_fract_z
Hg1 0.000 0.000 0.000
Hg2 0.000 0.500 0.500
Hg3 0.260 0.043 0.749
Hg4 0.260 0.457 0.249
Hg5 0.740 0.543 0.751
Hg6 0.740 0.957 0.251
Se1 0.500 0.000 0.500
Se2 0.500 0.500 0.000
O1 0.191 0.070 0.311
O2 0.191 0.430 0.811
O3 0.287 0.686 0.060
O4 0.287 0.814 0.560
O5 0.422 0.235 0.084
O6 0.422 0.265 0.584
O7 0.578 0.735 0.416
O8 0.578 0.765 0.916
O9 0.713 0.186 0.440
O10 0.713 0.314 0.940
O11 0.809 0.570 0.189
O12 0.809 0.930 0.689

---

(9)
# PBE CaMnAg2Cl6, optimized geometry
# Total DFT energy (no corrections): -3.992 eV per atom
# Total moment: 5.00 μB/f.u.
# Formation energy from raw total energies: -1.197 eV per atom
data_CaMnAg2Cl6
_space_group_name_H-M_alt 'P 1'
_space_group_IT_number 1
_cell_length_a 7.300
_cell_length_b 7.300
_cell_length_c 7.300
_cell_angle_alpha 55.94
_cell_angle_beta 55.94
_cell_angle_gamma 55.94
loop_
_space_group_symop_operation_xyz
'x,y,z'
loop_
_atom_site_label
_atom_site_fract_x
_atom_site_fract_y
_atom_site_fract_z
Ca1 0.000 0.000 0.000
Mn1 0.501 0.501 0.501
Ag1 0.228 0.228 0.228
Ag2 0.767 0.767 0.767
Cl1 0.133 0.390 0.743
Cl2 0.261 0.869 0.610
Cl3 0.390 0.743 0.133
Cl4 0.610 0.261 0.869
Cl5 0.743 0.133 0.390
Cl6 0.869 0.610 0.261

---

(10)
# PBE Ac4CeIn5, optimized geometry
# Total DFT energy (no corrections): -4.000 eV per atom
# Total moment: 0.97 μB/f.u.
# DFT formation energy: -0.39 eV/atom
data_Ac4CeIn5
_space_group_name_H-M_alt 'P 1'
_space_group_IT_number 1
_cell_length_a 4.048
_cell_length_b 4.048
_cell_length_c 20.458
_cell_angle_alpha 90.00
_cell_angle_beta 90.00
_cell_angle_gamma 90.00
loop_
_space_group_symop_operation_xyz
'x,y,z'
loop_
_atom_site_label
_atom_site_fract_x
_atom_site_fract_y
_atom_site_fract_z
Ac1 0.000 0.000 0.103
Ac2 0.000 0.000 0.309
Ac3 0.000 0.000 0.691
Ac4 0.000 0.000 0.897
Ce1 0.000 0.000 0.500
In1 0.500 0.500 0.000
In2 0.500 0.500 0.207
In3 0.500 0.500 0.413
In4 0.500 0.500 0.587
In5 0.500 0.500 0.793

---

(11)
# PBE Sm2CuSiPt6, optimized geometry
# Total DFT energy (no corrections): -6.330 eV per atom
# Total moment: 0.00 μB/f.u.
# Formation energy from raw total energies: -0.810 eV per atom
data_Sm2CuSiPt6
_space_group_name_H-M_alt 'P 1'
_space_group_IT_number 1
_cell_length_a 8.036
_cell_length_b 8.036
_cell_length_c 8.036
_cell_angle_alpha 40.86
_cell_angle_beta 40.86
_cell_angle_gamma 40.86
loop_
_space_group_symop_operation_xyz
'x,y,z'
loop_
_atom_site_label
_atom_site_fract_x
_atom_site_fract_y
_atom_site_fract_z
Sm1 0.204 0.204 0.204
Sm2 0.796 0.796 0.796
Cu1 0.500 0.500 0.500
Si1 0.000 0.000 0.000
Pt1 0.247 0.247 0.734
Pt2 0.247 0.734 0.247
Pt3 0.266 0.753 0.753
Pt4 0.734 0.247 0.247
Pt5 0.753 0.266 0.753
Pt6 0.753 0.753 0.266

---

(12)
# PBE Th6Si2OsSe3, optimized geometry
# Total DFT energy (no corrections): -7.526 eV per atom
# Total moment: 0.00 μB/f.u.
# Formation energy from raw total energies: -1.106 eV per atom
data_Th6Si2OsSe3
_space_group_name_H-M_alt 'P 1'
_space_group_IT_number 1
_cell_length_a 9.496
_cell_length_b 9.496
_cell_length_c 8.624
_cell_angle_alpha 102.93
_cell_angle_beta 102.93
_cell_angle_gamma 25.46
loop_
_space_group_symop_operation_xyz
'x,y,z'
loop_
_atom_site_label
_atom_site_fract_x
_atom_site_fract_y
_atom_site_fract_z
Th1 0.002 0.002 0.228
Th2 0.329 0.329 0.426
Th3 0.341 0.341 0.911
Th4 0.659 0.659 0.089
Th5 0.671 0.671 0.574
Th6 0.998 0.998 0.772
Si1 0.166 0.166 0.334
Si2 0.834 0.834 0.666
Os1 0.500 0.500 0.000
Se1 0.171 0.171 0.833
Se2 0.500 0.500 0.500
Se3 0.829 0.829 0.167